Record 1
Entry from Alexandria via LeMat-Bulk: crystalline PuCrF5 at its relaxed geometry (PBE with a Hubbard U).

- DFT total energy: -7.600 eV per atom

Structure (CIF):
```
data_PuCrF5
_chemical_formula_sum 'Pu4 Cr4 F20'
_symmetry_space_group_name_H-M 'C 1 2/c 1'
_symmetry_Int_Tables_number 15
_cell_length_a 9.2924
_cell_length_b 7.3143
_cell_length_c 7.7205
_cell_angle_alpha 90.00
_cell_angle_beta 113.95
_cell_angle_gamma 90.00
loop_
_symmetry_equiv_pos_as_xyz
'x,y,z'
'-x,-y,-z'
'-x,y,-z+1/2'
'x,-y,z+1/2'
'x+1/2,y+1/2,z'
'-x+1/2,-y+1/2,-z'
'-x+1/2,y+1/2,-z+1/2'
'x+1/2,-y+1/2,z+1/2'
loop_
_atom_site_label
_atom_site_type_symbol
_atom_site_fract_x
_atom_site_fract_y
_atom_site_fract_z
Pu1 Pu 0.0000 0.0493 0.2500
Cr1 Cr 0.0000 0.5000 0.0000
F1 F 0.0000 0.3912 0.2500
F2 F 0.0127 0.1789 0.9678
F3 F 0.2346 0.4690 0.6257
```


Record 2
Entry from Alexandria via LeMat-Bulk: crystalline PuTlCrF6 at its relaxed geometry (PBE with a Hubbard U).

- DFT total energy: -6.447 eV per atom

Structure (CIF):
```
data_PuTlCrF6
_chemical_formula_sum 'Pu2 Tl2 Cr2 F12'
_symmetry_space_group_name_H-M 'P -3 1 c'
_symmetry_Int_Tables_number 163
_symmetry_space_group_name_Hall '-P 3 2c'
_cell_length_a 6.0638
_cell_length_b 6.0638
_cell_length_c 11.3335
_cell_angle_alpha 90.00
_cell_angle_beta 90.00
_cell_angle_gamma 120.00
loop_
_atom_site_label
_atom_site_type_symbol
_atom_site_fract_x
_atom_site_fract_y
_atom_site_fract_z
Pu1 Pu 0.3333 0.6667 0.2500
Tl1 Tl 0.0000 0.0000 0.0000
Cr1 Cr 0.3333 0.6667 0.7500
F1 F 0.0199 0.3800 0.6509
```


Record 3
Entry from Alexandria via LeMat-Bulk: crystalline RbCr2F at its relaxed geometry (PBE with a Hubbard U).

- Energy relative to the lowest polymorph listed for this composition: 519 meV per atom

Structure (CIF):
```
data_RbCr2F
_chemical_formula_sum 'Rb4 Cr8 F4'
_symmetry_space_group_name_H-M 'F m -3 m'
_symmetry_Int_Tables_number 225
_symmetry_space_group_name_Hall '-F 4 2 3'
_cell_length_a 7.6804
_cell_length_b 7.6804
_cell_length_c 7.6804
_cell_angle_alpha 90.00
_cell_angle_beta 90.00
_cell_angle_gamma 90.00
loop_
_atom_site_label
_atom_site_type_symbol
_atom_site_fract_x
_atom_site_fract_y
_atom_site_fract_z
Rb1 Rb 0.0000 0.0000 0.0000
Cr1 Cr 0.2500 0.2500 0.2500
F1 F 0.0000 0.0000 0.5000
```


Record 4
Entry from Alexandria via LeMat-Bulk: crystalline Rb2CrF at its relaxed geometry (PBE with a Hubbard U).

- Energy relative to the lowest polymorph listed for this composition: 0 meV per atom

Structure (CIF):
```
data_Rb2CrF
_chemical_formula_sum 'Rb8 Cr4 F4'
_symmetry_space_group_name_H-M 'I -4 2 d'
_symmetry_Int_Tables_number 122
_symmetry_space_group_name_Hall 'I -4 2bw'
_cell_length_a 8.3353
_cell_length_b 8.3353
_cell_length_c 9.9672
_cell_angle_alpha 90.00
_cell_angle_beta 90.00
_cell_angle_gamma 90.00
loop_
_atom_site_label
_atom_site_type_symbol
_atom_site_fract_x
_atom_site_fract_y
_atom_site_fract_z
Rb1 Rb 0.1356 0.2500 0.1250
Cr1 Cr 0.0000 0.0000 0.5000
F1 F 0.0000 0.0000 0.0000
```


Record 5
Entry from Alexandria via LeMat-Bulk: crystalline RbCrF3 at its relaxed geometry (PBE with a Hubbard U).

- DFT total energy: -5.485 eV per atom

Structure (CIF):
```
data_RbCrF3
_chemical_formula_sum 'Rb1 Cr1 F3'
_symmetry_space_group_name_H-M 'P 4/m m m'
_symmetry_Int_Tables_number 123
_symmetry_space_group_name_Hall '-P 4 2'
_cell_length_a 4.1418
_cell_length_b 4.1418
_cell_length_c 4.6423
_cell_angle_alpha 90.00
_cell_angle_beta 90.00
_cell_angle_gamma 90.00
loop_
_atom_site_label
_atom_site_type_symbol
_atom_site_fract_x
_atom_site_fract_y
_atom_site_fract_z
Rb1 Rb 0.0000 0.0000 0.0000
Cr1 Cr 0.5000 0.5000 0.5000
F1 F 0.0000 0.5000 0.5000
F2 F 0.5000 0.5000 0.0000
```


Record 6
Entry from Alexandria via LeMat-Bulk: crystalline Rb4Cr3F10 at its relaxed geometry (PBE with a Hubbard U).

- DFT total energy: -5.323 eV per atom

Structure (CIF):
```
data_Rb4Cr3F10
_chemical_formula_sum 'Rb8 Cr6 F20'
_symmetry_space_group_name_H-M 'I 4/m m m'
_symmetry_Int_Tables_number 139
_symmetry_space_group_name_Hall '-I 4 2'
_cell_length_a 4.1414
_cell_length_b 4.1414
_cell_length_c 33.4017
_cell_angle_alpha 90.00
_cell_angle_beta 90.00
_cell_angle_gamma 90.00
loop_
_atom_site_label
_atom_site_type_symbol
_atom_site_fract_x
_atom_site_fract_y
_atom_site_fract_z
Rb1 Rb 0.0000 0.0000 0.0694
Rb2 Rb 0.0000 0.0000 0.2065
Cr1 Cr 0.0000 0.0000 0.3608
Cr2 Cr 0.0000 0.0000 0.5000
F1 F 0.0000 0.0000 0.2915
F2 F 0.0000 0.0000 0.4305
F3 F 0.0000 0.5000 0.0000
F4 F 0.0000 0.5000 0.1389
```


Record 7
Entry from Alexandria via LeMat-Bulk: crystalline Rb3CrF5 at its relaxed geometry (PBE with a Hubbard U).

- DFT total energy: -4.703 eV per atom

Structure (CIF):
```
data_Rb3CrF5
_chemical_formula_sum 'Rb12 Cr4 F20'
_symmetry_space_group_name_H-M 'I 4/m c m'
_symmetry_Int_Tables_number 140
_symmetry_space_group_name_Hall '-I 4 2c'
_cell_length_a 7.5874
_cell_length_b 7.5874
_cell_length_c 13.1619
_cell_angle_alpha 90.00
_cell_angle_beta 90.00
_cell_angle_gamma 90.00
loop_
_atom_site_label
_atom_site_type_symbol
_atom_site_fract_x
_atom_site_fract_y
_atom_site_fract_z
Rb1 Rb 0.0000 0.0000 0.2500
Rb2 Rb 0.1763 0.3237 0.0000
Cr1 Cr 0.0000 0.5000 0.2500
F1 F 0.0000 0.0000 0.0000
F2 F 0.1392 0.3608 0.3513
```


Record 8
Entry from Alexandria via LeMat-Bulk: crystalline RbCr2F6 at its relaxed geometry (PBE with a Hubbard U).

- Energy relative to the lowest polymorph listed for this composition: 7 meV per atom

Structure (CIF):
```
data_RbCr2F6
_chemical_formula_sum 'Rb1 Cr2 F6'
_symmetry_space_group_name_H-M 'P -3 1 m'
_symmetry_Int_Tables_number 162
_symmetry_space_group_name_Hall '-P 3 2'
_cell_length_a 5.5248
_cell_length_b 5.5248
_cell_length_c 6.0149
_cell_angle_alpha 90.00
_cell_angle_beta 90.00
_cell_angle_gamma 120.00
loop_
_atom_site_label
_atom_site_type_symbol
_atom_site_fract_x
_atom_site_fract_y
_atom_site_fract_z
Rb1 Rb 0.0000 0.0000 0.0000
Cr1 Cr 0.3333 0.6667 0.5000
F1 F 0.0000 0.3783 0.6796
```


Record 9
Entry from Alexandria via LeMat-Bulk: crystalline RbCrF5 at its relaxed geometry (PBE with a Hubbard U).

- Energy relative to the lowest polymorph listed for this composition: 26 meV per atom

Structure (CIF):
```
data_RbCrF5
_chemical_formula_sum 'Rb4 Cr4 F20'
_symmetry_space_group_name_H-M 'C 1 2/c 1'
_symmetry_Int_Tables_number 15
_cell_length_a 9.5824
_cell_length_b 7.2763
_cell_length_c 7.7355
_cell_angle_alpha 90.00
_cell_angle_beta 111.12
_cell_angle_gamma 90.00
loop_
_symmetry_equiv_pos_as_xyz
'x,y,z'
'-x,-y,-z'
'-x,y,-z+1/2'
'x,-y,z+1/2'
'x+1/2,y+1/2,z'
'-x+1/2,-y+1/2,-z'
'-x+1/2,y+1/2,-z+1/2'
'x+1/2,-y+1/2,z+1/2'
loop_
_atom_site_label
_atom_site_type_symbol
_atom_site_fract_x
_atom_site_fract_y
_atom_site_fract_z
Rb1 Rb 0.0000 0.0333 0.2500
Cr1 Cr 0.0000 0.5000 0.0000
F1 F 0.0000 0.4439 0.2500
F2 F 0.0646 0.2646 0.9904
F3 F 0.1919 0.4206 0.5992
```


Record 10
Entry from Alexandria via LeMat-Bulk: crystalline RbCrF5 at its relaxed geometry (PBE with a Hubbard U).

- Energy relative to the lowest polymorph listed for this composition: 0 meV per atom

Structure (CIF):
```
data_RbCrF5
_chemical_formula_sum 'Rb4 Cr4 F20'
_symmetry_space_group_name_H-M 'P m c 21'
_symmetry_Int_Tables_number 26
_cell_length_a 5.6561
_cell_length_b 7.8498
_cell_length_c 10.4982
_cell_angle_alpha 90.00
_cell_angle_beta 90.00
_cell_angle_gamma 90.00
loop_
_symmetry_equiv_pos_as_xyz
'x,y,z'
'-x,-y,z+1/2'
'-x,y,z'
'x,-y,z+1/2'
loop_
_atom_site_label
_atom_site_type_symbol
_atom_site_fract_x
_atom_site_fract_y
_atom_site_fract_z
Rb1 Rb 0.0000 0.1201 0.0000
Rb2 Rb 0.5000 0.3713 0.6477
Cr1 Cr 0.0000 0.4200 0.3565
Cr2 Cr 0.5000 0.1183 0.2629
F1 F 0.0000 0.2428 0.4661
F2 F 0.0000 0.4371 0.7200
F3 F 0.2285 0.4592 0.9381
F4 F 0.2487 0.2972 0.2581
F5 F 0.2725 0.0456 0.7584
F6 F 0.5000 0.1449 0.4333
F7 F 0.5000 0.1514 0.0916
```


Record 11
Entry from Alexandria via LeMat-Bulk: crystalline Rb2CrF at its relaxed geometry (PBE with a Hubbard U).

- Energy relative to the lowest polymorph listed for this composition: 309 meV per atom

Structure (CIF):
```
data_Rb2CrF
_chemical_formula_sum 'Rb8 Cr4 F4'
_symmetry_space_group_name_H-M 'F m -3 m'
_symmetry_Int_Tables_number 225
_symmetry_space_group_name_Hall '-F 4 2 3'
_cell_length_a 8.3767
_cell_length_b 8.3767
_cell_length_c 8.3767
_cell_angle_alpha 90.00
_cell_angle_beta 90.00
_cell_angle_gamma 90.00
loop_
_atom_site_label
_atom_site_type_symbol
_atom_site_fract_x
_atom_site_fract_y
_atom_site_fract_z
Rb1 Rb 0.2500 0.2500 0.2500
Cr1 Cr 0.0000 0.0000 0.0000
F1 F 0.0000 0.0000 0.5000
```


Record 12
Entry from Alexandria via LeMat-Bulk: crystalline RbCrF3 at its relaxed geometry (PBE with a Hubbard U).

- DFT total energy: -3.942 eV per atom

Structure (CIF):
```
data_RbCrF3
_chemical_formula_sum 'Rb1 Cr1 F3'
_symmetry_space_group_name_H-M 'P m -3 m'
_symmetry_Int_Tables_number 221
_symmetry_space_group_name_Hall '-P 4 2 3'
_cell_length_a 4.9148
_cell_length_b 4.9148
_cell_length_c 4.9148
_cell_angle_alpha 90.00
_cell_angle_beta 90.00
_cell_angle_gamma 90.00
loop_
_atom_site_label
_atom_site_type_symbol
_atom_site_fract_x
_atom_site_fract_y
_atom_site_fract_z
Rb1 Rb 0.0000 0.0000 0.0000
Cr1 Cr 0.5000 0.5000 0.5000
F1 F 0.0000 0.0000 0.5000
```


| no. | M_tot (μB per formula unit) |
| --- | --- |
| 1 | 9.000 |
| 2 | 5.000 |
| 3 | 11.222 |
| 4 | 5.053 |
| 5 | 4.000 |
| 6 | 12.000 |
| 7 | 4.000 |
| 8 | 7.000 |
| 9 | 2.000 |
| 10 | 2.000 |
| 11 | 5.000 |
| 12 | 4.815 |